Entry 1:
Computed, not measured: SiPRh after structural relaxation at the PBE-GGA level of DFT.

```
12
Lattice="-2.170 -3.584 1.785 0.867 -3.177 -5.325 5.433 -2.197 2.196" Properties=species:S:1:pos:R:3 pbc="T T T"
P 4.286 -3.194 1.703
P 0.706 -4.698 0.139
P -0.156 -5.763 -3.047
P 3.425 -4.259 -1.483
Si 2.246 -4.549 -3.499
Si 3.628 -6.527 0.021
Si 1.885 -4.408 2.154
Si 0.502 -2.431 -1.366
Rh 2.391 -2.803 0.185
Rh 4.014 -5.661 2.228
Rh 1.739 -6.155 -1.529
Rh 0.116 -3.296 -3.572
```

Values from the calculation:
formation energy (no corrections) = -0.4257 eV per atom

=====

Entry 2:
Computed, not measured: AgRh after structural relaxation at the PBE-GGA level of DFT.

```
6
Lattice="1.395 5.087 0.032 -1.395 5.087 0.032 0.000 2.059 6.781" Properties=species:S:1:pos:R:3 pbc="T T T"
Ag 0.000 10.077 0.118
Ag 0.000 6.875 1.854
Ag 0.000 4.148 2.406
Rh 0.000 10.939 4.290
Rh 0.000 8.115 4.614
Rh 0.000 4.679 6.175
```

Values from the calculation:
formation energy = 0.210 eV/atom

=====

Entry 3:
Computed, not measured: KTlTc2 after structural relaxation at the PBE-GGA level of DFT.

```
4
Lattice="-4.594 -6.351 6.996 -4.026 -8.446 4.779 -1.828 -7.750 6.854" Properties=species:S:1:pos:R:3 pbc="T T T"
K -7.787 -16.806 13.885
Tc -10.268 -22.159 18.308
Tc -2.713 -5.855 4.837
Tl -5.351 -11.548 9.541
```

Values from the calculation:
formation energy = 0.713 eV/atom
distance to the lowest polymorph of the same formula = 229 meV/atom

=====

no.,magnetic moment (μB/atom),N(E_F) (states/eV per atom)
1,0.000,0.317
2,0.000,1.262
3,0.000,1.248